# 1
Below is Tb8Pr3In after structural relaxation, with properties calculated at the PBE level.

Results
Crystal system: tetragonal
VASP energy (eV per cell): -48.424
Energy of formation (meV per atom): 474.6
ρ (kg/m3): 6996

Cell and atoms, written as POSCAR:
```
Tb8Pr3In
1.0
-4.3559 4.3559 5.6571
4.3559 -4.3559 5.6571
4.3559 4.3559 -5.6571
Tb Pr In
8 3 1
Cartesian
3.2604 3.2604 -2.8338
2.1767 2.1767 -0.1065
2.1792 -2.1792 5.7635
1.0955 1.0955 2.8232
1.0955 -1.0955 8.4909
2.1792 2.1792 5.5506
-2.1792 2.1792 5.7635
-1.0955 1.0955 8.4909
0.0000 0.0000 0.0000
4.3559 0.0000 2.8285
0.0000 4.3559 2.8285
0.0000 0.0000 5.6571
```



# 2
Below is Tb2PrIn9 after structural relaxation, with properties calculated at the PBE level.

Results
Crystal system: tetragonal
VASP energy (eV per cell): -44.001
Energy of formation (meV per atom): -442.9
ρ (kg/m3): 8069

Cell and atoms, written as POSCAR:
```
Tb2PrIn9
1.0
4.6782 0.0000 0.0000
0.0000 4.6782 0.0000
0.0000 0.0000 14.0301
Tb Pr In
2 1 9
Cartesian
0.0000 0.0000 2.3110
0.0000 0.0000 11.7192
0.0000 0.0000 7.0151
0.0000 2.3391 0.0000
0.0000 2.3391 4.6209
0.0000 2.3391 9.4092
2.3391 0.0000 0.0000
2.3391 0.0000 4.6209
2.3391 0.0000 9.4092
2.3391 2.3391 2.3250
2.3391 2.3391 7.0151
2.3391 2.3391 11.7051
```



# 3
Below is Tb3Pr2In2 after structural relaxation, with properties calculated at the PBE level.

Results
Crystal system: triclinic
VASP energy (eV per cell): -30.821
Energy of formation (meV per atom): -270.6
ρ (kg/m3): 7849

Cell and atoms, written as POSCAR:
```
Tb3Pr2In2
1.0
4.5662 0.0000 0.0000
-2.2749 5.7045 0.0000
-0.0084 -0.8458 8.0259
Tb Pr In
3 2 2
Cartesian
0.0000 0.0000 0.0000
-0.0131 2.3334 6.8302
2.2960 2.5253 1.1958
0.0195 1.1469 3.4477
2.2634 3.7118 4.5782
0.0090 4.6156 2.1640
2.2739 0.2431 5.8620
```



# 4
Below is Tb5PrIn3 after structural relaxation, with properties calculated at the PBE level.

Results
Crystal system: hexagonal
VASP energy (eV per cell): -78.577
Energy of formation (meV per atom): -349.2
ρ (kg/m3): 8115

Cell and atoms, written as POSCAR:
```
Tb5PrIn3
1.0
9.4404 0.0000 0.0000
-4.7202 8.1756 0.0000
0.0000 0.0000 6.7871
Tb Pr In
10 2 6
Cartesian
-1.5584 2.6992 1.6968
-3.1618 5.4764 5.0903
3.1168 0.0000 1.6968
1.5584 2.6992 5.0903
0.0000 5.4504 0.0000
0.0000 5.4504 3.3936
4.7202 2.7252 0.0000
4.7202 2.7252 3.3936
6.3236 0.0000 5.0903
3.1618 5.4764 1.6968
0.0000 0.0000 0.0000
0.0000 0.0000 3.3936
-1.6064 2.7824 5.0903
-3.1138 5.3933 1.6968
3.2128 0.0000 5.0903
1.6064 2.7824 1.6968
6.2276 0.0000 1.6968
3.1138 5.3933 5.0903
```



Question: Which formula does entry 4 have?
Answer: Tb5PrIn3



Question: Which of these has the lowest VASP energy?
Answer: Tb5PrIn3



Question: What is the formula in the second record?
Answer: Tb2PrIn9



Question: Which of these has the lowest ρ?
Answer: Tb8Pr3In